First-principles (SCAN) data for a PBEsol-optimized structure of LaTaNb2Ag, as listed in the Alexandria database.

Geometry as CIF:
```
data_LaTaNb2Ag
_cell_length_a 4.884
_cell_length_b 4.884
_cell_length_c 5.198
_cell_angle_alpha 90.00
_cell_angle_beta 90.00
_cell_angle_gamma 90.00
_space_group_name_H-M_alt 'P 4/m m m'
_space_group_IT_number 123
_space_group_name_Hall '-P 4 2'
loop_
_atom_site_label
_atom_site_fract_x
_atom_site_fract_y
_atom_site_fract_z
La1 0.000 0.000 0.000
Ta1 0.500 0.500 0.500
Nb1 0.000 0.500 0.500
Ag1 0.500 0.500 0.000
```

Output
- ΔE_f (eV/atom) = 0.85

***

First-principles (SCAN) data for a PBEsol-optimized structure of LaNb2AgTe, as listed in the Alexandria database.

Geometry as CIF:
```
data_LaNb2AgTe
_cell_length_a 4.966
_cell_length_b 4.966
_cell_length_c 5.368
_cell_angle_alpha 90.00
_cell_angle_beta 90.00
_cell_angle_gamma 90.00
_space_group_name_H-M_alt 'P 4/m m m'
_space_group_IT_number 123
_space_group_name_Hall '-P 4 2'
loop_
_atom_site_label
_atom_site_fract_x
_atom_site_fract_y
_atom_site_fract_z
La1 0.000 0.000 0.000
Nb1 0.000 0.500 0.500
Ag1 0.500 0.500 0.500
Te1 0.500 0.500 0.000
```

Output
- ΔE_f (raw) (eV per formula unit) = 4.89

***

First-principles (SCAN) data for a PBEsol-optimized structure of LaNiAg, as listed in the Alexandria database.

Geometry as CIF:
```
data_LaNiAg
_cell_length_a 4.3999
_cell_length_b 4.3999
_cell_length_c 3.7955
_cell_angle_alpha 90.00
_cell_angle_beta 90.00
_cell_angle_gamma 120.00
_space_group_name_H-M_alt 'P 3 m 1'
_space_group_IT_number 156
_space_group_name_Hall 'P 3 -2"'
loop_
_atom_site_label
_atom_site_fract_x
_atom_site_fract_y
_atom_site_fract_z
La1 0.0000 0.0000 0.0000
Ni1 0.6667 0.3333 0.4982
Ag1 0.3333 0.6667 0.5000
```

Output
- ΔE_f (eV/atom) = -0.19

***

Total energy: -203.09; -173.09; -91.22 (eV per cell)